Density functional theory data (PBE) for a relaxed structure of SrCuW2.

abc: 5.8587 5.8587 5.8587
angles: 141.18 141.18 56.07
Closest atoms and distances in Å follow each position.
Element x y z (fractional)
Cu 0.2500 0.7500 0.5000  4 Sr 2.75
W 0.0000 0.0000 0.0000  4 W 2.75
W 0.5000 0.5000 0.0000  4 W 2.75
Sr 0.7500 0.2500 0.5000  4 Cu 2.75

Output
- Offset from the most stable computed form: 0.893 eV/f.u.
- Mass density: 11.0 g/cm3

Density functional theory data (PBE) for a relaxed structure of SrCu2W2.

abc: 4.6945 4.6945 5.6704
angles: 65.55 65.55 90.00
Closest atoms and distances in Å follow each position.
Element x y z (fractional)
Cu 0.2500 0.7500 0.5000  4 W 2.60
Cu 0.7500 0.2500 0.5000  4 W 2.60
Sr 0.0000 0.0000 0.0000  8 Cu 3.29, 10 W 3.42-3.52
W 0.6275 0.6275 0.7449  1 W 2.35, 4 Cu 2.60
W 0.3725 0.3725 0.2551  1 W 2.35, 4 Cu 2.60

Output
- Offset from the most stable computed form: 1.875 eV/f.u.
- Mass density: 9.5 g/cm3